# Ca2CeZrN4 (GGA-PBE, optimized geometry)
# E_form (uncorrected), meV per atom: -1390
# SG: P2/m (10)
# Magnetization, μB per cell: 0.00
data_Ca2CeZrN4
_chemical_formula_sum 'Ca2 Ce1 Zr1 N4'
_cell_length_a 5.994
_cell_length_b 3.451
_cell_length_c 6.004
_cell_angle_alpha 90.00
_cell_angle_beta 109.26
_cell_angle_gamma 90.00
_space_group_name_H-M_alt 'P 1'
_space_group_IT_number 1
_space_group_name_Hall 'P 1'
loop_
_atom_site_label
_atom_site_type_symbol
_atom_site_fract_x
_atom_site_fract_y
_atom_site_fract_z
_atom_site_occupancy
Ca1 Ca 0.000 0.000 0.000 1
Ca2 Ca 0.500 0.500 0.000 1
Ce1 Ce 0.000 0.500 0.500 1
Zr1 Zr 0.500 0.000 0.500 1
N1 N 0.253 0.000 0.718 1
N2 N 0.269 0.500 0.282 1
N3 N 0.731 0.500 0.718 1
N4 N 0.747 0.000 0.282 1